[1]
Material: Pm8Ni2Ir
Method: DFT, PBE
State: relaxed

a b c (Å): 5.1319 6.7373 9.1675
angles (deg): 101.60 106.25 90.00
Last column: nearest neighbours and their distance in Å.
Positions (direct):
1 Pm 0.0395 0.7898 0.0790  1 Ni 2.84, 2 Ir 3.08
2 Pm 0.4126 0.5642 0.8252  1 Ir 3.02, 1 Pm 3.37
3 Ir 0.5000 0.0000 0.0000  8 Pm 3.02-3.08
4 Ni 0.8043 0.2615 0.6086  3 Pm 2.72-2.84
5 Pm 0.7994 0.6621 0.5988  1 Ni 2.72
6 Pm 0.5874 0.4358 0.1748  1 Ir 3.02, 1 Pm 3.37
7 Pm 0.2006 0.3379 0.4012  1 Ni 2.72
8 Pm 0.9605 0.2102 0.9210  1 Ni 2.84, 2 Ir 3.08
9 Ni 0.1957 0.7385 0.3914  3 Pm 2.72-2.84
10 Pm 0.3301 0.0276 0.6601  1 Ni 2.73, 1 Ir 3.04
11 Pm 0.6699 0.9724 0.3399  1 Ni 2.73, 1 Ir 3.04

Summary:
Spin magnetization in μB/f.u.: 0.0
ΔH_f (0 K) in meV/atom: -246
D(E_F) in states/eV/atom: 1.020
Total DFT energy (no corrections) in eV/atom: -5.56



[2]
Material: Pm8Ni2Ir
Method: DFT, PBE
State: relaxed

a b c (Å): 6.3773 7.5474 7.5474
angles (deg): 112.84 100.94 100.94
Last column: nearest neighbours and their distance in Å.
Positions (direct):
1 Pm 0.3586 0.6520 0.9211  2 Ni 2.81-2.84, 1 Ir 2.97
2 Pm 0.7981 0.6453 0.6453  2 Ni 3.02, 1 Ir 3.20
3 Pm 0.9778 0.1984 0.7978  1 Ir 2.85
4 Ir 0.1898 0.0081 0.0081  7 Pm 2.85-3.06
5 Pm 0.5907 0.3517 0.0845  2 Ni 2.78-2.80, 1 Ir 3.06
6 Pm 0.9778 0.7978 0.1984  1 Ir 2.85
7 Pm 0.1775 0.3607 0.3607  1 Ir 2.97, 2 Ni 3.05
8 Pm 0.3586 0.9211 0.6520  2 Ni 2.81-2.84, 1 Ir 2.97
9 Ni 0.4899 0.6938 0.3205  6 Pm 2.78-3.05
10 Pm 0.5907 0.0845 0.3517  2 Ni 2.78-2.80, 1 Ir 3.06
11 Ni 0.4899 0.3205 0.6938  6 Pm 2.78-3.05

Summary:
Spin magnetization in μB/f.u.: 0.0
ΔH_f (0 K) in meV/atom: -166
D(E_F) in states/eV/atom: 1.175
Total DFT energy (no corrections) in eV/atom: -5.48